1.
## BeFeNi2 (PBE)

Data for a geometry-optimized BeFeNi2 structure.

abc: 3.8484 3.8484 3.8484
angles: 60.00 60.00 60.00
Fractional positions:
Be1 0.0000 0.0000 0.0000
Fe1 0.7500 0.7500 0.7500
Ni1 0.2500 0.2500 0.2500
Ni2 0.5000 0.5000 0.5000

Output
- Space group: No. 216
- DFT total energy: -5.88 eV per atom
- Calculated volume: 10.1 Å³ per atom

=====

2.
## BeFeNiPb (PBE)

Data for a geometry-optimized BeFeNiPb structure.

abc: 4.2816 4.2816 4.2816
angles: 60.00 60.00 60.00
Fractional positions:
Be1 0.0000 0.0000 0.0000
Fe1 0.7500 0.7500 0.7500
Ni1 0.5000 0.5000 0.5000
Pb1 0.2500 0.2500 0.2500

Output
- Space group: No. 216
- DFT total energy: -4.86 eV per atom
- Calculated volume: 13.9 Å³ per atom
- ΔE to the lowest computed polymorph: 67 meV per atom

=====

3.
## BeFeNiPb (PBE)

Data for a geometry-optimized BeFeNiPb structure.

abc: 4.2379 4.2379 4.2379
angles: 60.00 60.00 60.00
Fractional positions:
Be1 0.0000 0.0000 0.0000
Fe1 0.7500 0.7500 0.7500
Ni1 0.2500 0.2500 0.2500
Pb1 0.5000 0.5000 0.5000

Output
- Space group: No. 216
- DFT total energy: -4.93 eV per atom
- Calculated volume: 13.5 Å³ per atom
- ΔE to the lowest computed polymorph: 0 meV per atom

=====

4.
## BeFeNiSn (PBE)

Data for a geometry-optimized BeFeNiSn structure.

abc: 4.1284 4.1284 4.1284
angles: 60.00 60.00 60.00
Fractional positions:
Be1 0.0000 0.0000 0.0000
Fe1 0.7500 0.7500 0.7500
Ni1 0.2500 0.2500 0.2500
Sn1 0.5000 0.5000 0.5000

Output
- Space group: No. 216
- DFT total energy: -5.36 eV per atom
- Calculated volume: 12.4 Å³ per atom
- ΔE to the lowest computed polymorph: 0 meV per atom

=====

> Which of these has the highest DFT total energy?

number 2

=====

> The lowest calculated volume belongs to which entry?

BeFeNi2

=====

> Among the records above, which one has the highest DFT total energy?

number 2